# MgMo2Pt

An optimized crystal structure of MgMo2Pt (PBE, the Alexandria database).

Lattice parameters (Å, degrees): 4.803 4.803 4.803 129.64 129.64 73.99
Positions (direct):
Mg 0.000 0.000 0.000
Mo 0.250 0.750 0.500
Mo 0.500 0.500 0.000
Pt 0.750 0.250 0.500

The density of states at the Fermi level comes out at 3.00 states/eV per cell. The value obtained for the energy of formation from the pure elements is 0.0325 eV per atom.

# CsInF2

An optimized crystal structure of CsInF2 (PBE, the Alexandria database).

Lattice parameters (Å, degrees): 8.380 8.380 8.380 29.35 29.35 29.35
Positions (direct):
Cs 0.000 0.000 0.000
In 0.500 0.500 0.500
F 0.405 0.405 0.405
F 0.595 0.595 0.595

The calculation puts the distance to the lowest polymorph of the same formula at 167 meV per atom. As for the raw formation energy: -2036 meV per atom. The density of states at the Fermi level comes out at 0.00 states/eV per cell.

# CdAg2Cl

An optimized crystal structure of CdAg2Cl (PBE, the Alexandria database).

Lattice parameters (Å, degrees): 4.974 4.974 3.316 90.00 90.00 90.00
Positions (direct):
Cd 0.000 0.000 0.000
Ag 0.000 0.500 0.500
Ag 0.500 0.000 0.500
Cl 0.500 0.500 0.000

The calculation puts the distance to the lowest polymorph of the same formula at 182 meV per atom. As for the raw formation energy: 20 meV per atom. The density of states at the Fermi level comes out at 1.07 states/eV per cell.

# TbHo6Tm

An optimized crystal structure of TbHo6Tm (PBE, the Alexandria database).

Lattice parameters (Å, degrees): 6.495 6.675 6.847 118.81 103.21 90.17
Positions (direct):
Tb 0.000 0.000 0.000
Ho 0.231 0.575 0.482
Ho 0.251 0.550 0.001
Ho 0.271 0.095 0.524
Ho 0.729 0.905 0.476
Ho 0.749 0.450 0.999
Ho 0.769 0.425 0.518
Tm 0.500 0.000 0.000

The calculation puts the distance to the lowest polymorph of the same formula at 191 meV per atom. The density of states at the Fermi level comes out at 13.93 states/eV per cell. The value obtained for the energy of formation from the pure elements is 0.2103 eV per atom.

# CuBiIN2

An optimized crystal structure of CuBiIN2 (PBE, the Alexandria database).

Lattice parameters (Å, degrees): 4.242 4.242 5.013 90.00 90.00 90.00
Positions (direct):
Cu 0.000 0.000 0.000
Bi 0.500 0.500 0.500
I 0.000 0.000 0.500
N 0.000 0.500 0.000
N 0.500 0.000 0.000

The calculation puts the distance to the lowest polymorph of the same formula at 140 meV per atom. As for the raw formation energy: 1726 meV per atom. The density of states at the Fermi level comes out at 5.13 states/eV per cell.

# NdSm2TlH

An optimized crystal structure of NdSm2TlH (PBE, the Alexandria database).

Lattice parameters (Å, degrees): 4.992 4.992 4.950 90.00 90.00 90.00
Positions (direct):
Nd 0.000 0.000 0.000
Sm 0.000 0.500 0.500
Sm 0.500 0.000 0.500
Tl 0.500 0.500 0.000
H 0.000 0.000 0.500

The density of states at the Fermi level comes out at 6.75 states/eV per cell. The calculated total energy comes out at -4.288 eV/atom.

# MgMnBr2

An optimized crystal structure of MgMnBr2 (PBE, the Alexandria database).

Lattice parameters (Å, degrees): 7.806 7.806 4.414 106.33 106.33 28.02
Positions (direct):
Mg 0.000 0.000 0.000
Mn 0.500 0.500 0.500
Br 0.130 0.130 0.629
Br 0.870 0.870 0.371

The calculation puts the distance to the lowest polymorph of the same formula at 180 meV per atom. As for the raw formation energy: -360 meV per atom. The density of states at the Fermi level comes out at 2.17 states/eV per cell.

# Cs2SrHg2

An optimized crystal structure of Cs2SrHg2 (PBE, the Alexandria database).

Lattice parameters (Å, degrees): 10.822 10.822 4.202 90.00 90.00 90.00
Positions (direct):
Cs 0.133 0.367 0.000
Cs 0.367 0.867 0.000
Cs 0.633 0.133 0.000
Cs 0.867 0.633 0.000
Sr 0.000 0.000 0.000
Sr 0.500 0.500 0.000
Hg 0.167 0.667 0.500
Hg 0.333 0.167 0.500
Hg 0.667 0.833 0.500
Hg 0.833 0.333 0.500

The calculation puts the distance to the lowest polymorph of the same formula at 156 meV per atom. The density of states at the Fermi level comes out at 14.36 states/eV per cell. The value obtained for the energy of formation from the pure elements is -0.0216 eV per atom.

# TaV2Pt

An optimized crystal structure of TaV2Pt (PBE, the Alexandria database).

Lattice parameters (Å, degrees): 3.171 3.171 6.064 90.00 90.00 90.00
Positions (direct):
Ta 0.000 0.000 0.000
V 0.500 0.500 0.248
V 0.500 0.500 0.752
Pt 0.000 0.000 0.500

The calculation puts the distance to the lowest polymorph of the same formula at 30 meV per atom. The density of states at the Fermi level comes out at 5.90 states/eV per cell. The value obtained for the energy of formation from the pure elements is -0.2457 eV per atom.

# ScTeIrN2

An optimized crystal structure of ScTeIrN2 (PBE, the Alexandria database).

Lattice parameters (Å, degrees): 3.834 3.834 7.074 90.00 90.00 90.00
Positions (direct):
Sc 0.000 0.000 0.000
Te 0.500 0.500 0.000
Ir 0.500 0.500 0.500
N 0.000 0.500 0.500
N 0.500 0.000 0.500

The calculation puts the distance to the lowest polymorph of the same formula at 0 meV per atom. As for the raw formation energy: 482 meV per atom. The density of states at the Fermi level comes out at 2.06 states/eV per cell.

# BeAlOs2

An optimized crystal structure of BeAlOs2 (PBE, the Alexandria database).

Lattice parameters (Å, degrees): 2.737 2.737 7.768 90.00 90.00 116.02
Positions (direct):
Be 0.000 0.000 0.000
Al 0.000 0.000 0.500
Os 0.500 0.500 0.233
Os 0.500 0.500 0.767

The density of states at the Fermi level comes out at 2.41 states/eV per cell. The value obtained for the energy of formation from the pure elements is 0.0006 eV per atom.

# TmTh3

An optimized crystal structure of TmTh3 (PBE, the Alexandria database).

Lattice parameters (Å, degrees): 5.034 5.034 5.034 90.00 90.00 90.00
Positions (direct):
Tm 0.000 0.000 0.000
Th 0.000 0.500 0.500
Th 0.500 0.000 0.500
Th 0.500 0.500 0.000

The calculation puts the distance to the lowest polymorph of the same formula at 12 meV per atom. The density of states at the Fermi level comes out at 6.58 states/eV per cell. The value obtained for the energy of formation from the pure elements is 0.0507 eV per atom.

> Number 7 is which compound?

MgMnBr2